*1*
The following is a DFT calculation (PBE) of an optimized crystal structure of NpAsO.

The structure in POSCAR format:
```
NpAsO
1.0
3.7909 0.0000 0.0000
-1.8955 3.2831 0.0000
0.0000 0.0000 4.2261
Np As O
1 1 1
Cartesian
0.0000 0.0000 0.0000
1.8955 1.0943 2.1130
0.0000 2.1887 0.0000
```

Summary:
Total magnetization   2.23 μB per formula unit


*2*
The following is a DFT calculation (PBE) of an optimized crystal structure of NpAsO.

The structure in POSCAR format:
```
NpAsO
1.0
2.7143 -2.7682 0.0000
2.7143 2.7682 0.0000
-0.8426 0.0000 7.1337
Np As O
2 2 2
Cartesian
0.5317 0.0000 1.4317
4.0544 0.0000 5.7020
1.4560 0.0000 4.4543
3.1300 0.0000 2.6794
1.3572 1.3841 0.0000
1.3572 -1.3841 0.0000
```

Summary:
Total magnetization   3.02 μB per formula unit


Which structure is the least stable? The one labeled *2*.


*1*
The following is a DFT calculation (PBE) of an optimized crystal structure of CdAsP2.

The structure in POSCAR format:
```
CdAsP2
1.0
2.8538 -4.7691 0.0000
2.8538 4.7691 0.0000
-0.8967 0.0000 2.6665
Cd As P
1 1 2
Cartesian
0.0000 0.0000 0.0000
2.8538 0.0000 0.0000
0.9785 2.3845 1.3332
0.9785 -2.3845 1.3332
```

Summary:
Total magnetization   0.00 μB per formula unit


*2*
The following is a DFT calculation (PBE) of an optimized crystal structure of CdAsP2.

The structure in POSCAR format:
```
CdAsP2
1.0
1.5385 -2.5826 0.0000
1.5385 2.5826 0.0000
0.0000 0.0000 9.8258
Cd As P
1 1 2
Cartesian
0.0000 0.0000 0.0000
1.5385 0.0000 7.0545
0.0000 0.0000 4.6203
1.5385 0.0000 3.0341
```

Summary:
Total magnetization   0.00 μB per formula unit


Which structure is the least stable? The one labeled *1*.


*1*
The following is a DFT calculation (PBE) of an optimized crystal structure of AlSbCl2.

The structure in POSCAR format:
```
AlSbCl2
1.0
6.9494 -1.5425 0.0000
6.9494 1.5425 0.0000
-2.5472 0.0000 5.5882
Al Sb Cl
1 1 2
Cartesian
0.0000 0.0000 0.0000
5.6758 0.0000 2.7941
2.8274 0.0000 4.8698
8.5242 0.0000 0.7184
```

Summary:
Total magnetization   0.00 μB per formula unit


*2*
The following is a DFT calculation (PBE) of an optimized crystal structure of AlSbCl2.

The structure in POSCAR format:
```
AlSbCl2
1.0
1.7511 1.0110 9.5288
-1.7511 1.0110 9.5288
0.0000 -2.0220 9.5288
Al Sb Cl
1 1 2
Cartesian
0.0000 0.0000 0.0000
0.0000 0.0000 14.2933
0.0000 0.0000 11.6239
0.0000 0.0000 16.9626
```

Summary:
Total magnetization   0.00 μB per formula unit


Which structure is the least stable? The one labeled *2*.


*1*
The following is a DFT calculation (PBE) of an optimized crystal structure of TaCu2Ir.

The structure in POSCAR format:
```
TaCu2Ir
1.0
0.0000 3.0677 3.0677
3.0677 0.0000 3.0677
3.0677 3.0677 0.0000
Ta Cu Ir
1 2 1
Cartesian
0.0000 0.0000 0.0000
3.0677 3.0677 3.0677
4.6015 4.6015 4.6015
1.5338 1.5338 1.5338
```

Summary:
Total magnetization   0.00 μB per formula unit


*2*
The following is a DFT calculation (PBE) of an optimized crystal structure of TaCu2Ir.

The structure in POSCAR format:
```
TaCu2Ir
1.0
4.4943 0.0000 0.0000
0.0000 2.8871 0.0000
-1.3431 0.0000 4.4825
Ta Cu Ir
1 2 1
Cartesian
0.0000 0.0000 0.0000
-0.6715 1.4436 2.2412
1.5756 0.0000 2.2412
2.2471 1.4436 0.0000
```

Summary:
Total magnetization   0.00 μB per formula unit


Which structure is the least stable? The one labeled *2*.


*1*
The following is a DFT calculation (PBE) of an optimized crystal structure of KLiAl.

The structure in POSCAR format:
```
KLiAl
1.0
2.2578 1.3035 11.6524
-2.2578 1.3035 11.6524
0.0000 -2.6071 11.6524
K Li Al
2 2 2
Cartesian
0.0000 0.0000 0.0000
0.0000 0.0000 15.7454
0.0000 0.0000 6.5742
0.0000 0.0000 19.9729
0.0000 0.0000 9.1604
0.0000 0.0000 31.3705
```

Summary:
Total magnetization   0.00 μB per formula unit


*2*
The following is a DFT calculation (PBE) of an optimized crystal structure of KLiAl.

The structure in POSCAR format:
```
KLiAl
1.0
3.9302 -2.2643 0.0000
3.9302 2.2643 0.0000
-2.5329 0.0000 11.6770
K Li Al
2 2 2
Cartesian
0.0000 0.0000 0.0000
2.6276 0.0000 7.6211
0.0113 0.0000 3.6458
5.2526 0.0000 5.0185
2.6292 0.0000 3.0305
5.2434 0.0000 2.3970
```

Summary:
Total magnetization   0.00 μB per formula unit


Which structure is the least stable? The one labeled *1*.


*1*
The following is a DFT calculation (PBE) of an optimized crystal structure of Ca3TiH.

The structure in POSCAR format:
```
Ca3TiH
1.0
5.9458 0.0000 0.0000
0.0000 5.9458 0.0000
0.0000 0.0000 5.9458
Ca Ti H
3 1 1
Cartesian
0.0000 0.0000 2.9729
0.0000 2.9729 0.0000
2.9729 0.0000 0.0000
0.0000 0.0000 0.0000
2.9729 2.9729 2.9729
```

Summary:
Total magnetization   4.29 μB per formula unit


*2*
The following is a DFT calculation (PBE) of an optimized crystal structure of Ca3TiH.

The structure in POSCAR format:
```
Ca3TiH
1.0
5.0533 0.0000 0.0000
0.0000 5.0533 0.0000
0.0000 0.0000 5.0533
Ca Ti H
3 1 1
Cartesian
0.0000 0.0000 2.5267
0.0000 2.5267 0.0000
2.5267 0.0000 0.0000
2.5267 2.5267 2.5267
0.0000 0.0000 0.0000
```

Summary:
Total magnetization   3.06 μB per formula unit


Which structure is the least stable? The one labeled *1*.